Record 1
Below is a relaxed Hg2SbW crystal, with properties calculated at the GGA-PBE level.

abc: 14.8534 2.9609 4.5493
angles: 90.00 107.83 90.00
Last column: nearest neighbours and their distance in Å.
Space group C2/m (No. 12)
Asymmetric unit:
Hg  0.1866  0.0000  0.1855 [4 per cell]  6 Hg 2.96-3.26, 2 W 3.03
Sb  0.0000  0.0000  0.5000 [2 per cell]  4 W 2.71, 2 Sb 2.96
W  0.0000  0.5000  0.0000 [2 per cell]  4 Sb 2.71, 2 W 2.96, 4 Hg 3.03

Values from the calculation:
For the raw formation energy, the calculation gives 593.4 meV per atom. The theoretical density is 12.3 g/cm3. For the total magnetic moment, the calculation gives 0.000 μB/f.u. For the uncorrected energy, the calculation gives -30.611 eV per cell.

=====

Record 2
Below is a relaxed Hg2SbW crystal, with properties calculated at the GGA-PBE level.

abc: 2.9088 4.9835 13.7844
angles: 90.00 90.00 90.00
Last column: nearest neighbours and their distance in Å.
Space group Imm2 (No. 44)
Asymmetric unit:
Hg  0.0000  0.0000  0.0000 [2 per cell]  4 W 2.90, 2 Hg 2.91
Hg  0.0000  0.5000  0.1638 [2 per cell]  2 Hg 2.91, 2 W 2.93
Sb  0.0000  0.5000  0.8074 [2 per cell]  2 W 2.78, 2 Sb 2.91
W  0.0000  0.0000  0.4794 [2 per cell]  2 Sb 2.78, 6 Hg 2.90-2.93, 2 W 2.91

Values from the calculation:
For the raw formation energy, the calculation gives 541.7 meV per atom. The theoretical density is 11.7 g/cm3. For the total magnetic moment, the calculation gives 0.212 μB/f.u. For the uncorrected energy, the calculation gives -31.024 eV per cell.

=====

Record 3
Below is a relaxed Hg2SbW crystal, with properties calculated at the GGA-PBE level.

abc: 3.0810 3.0810 9.9443
angles: 90.00 90.00 90.00
Last column: nearest neighbours and their distance in Å.
Space group P4mm (No. 99)
Asymmetric unit:
Hg  0.0000  0.0000  0.0000 [1 per cell]  4 W 2.96, 4 Hg 3.08
Hg  0.5000  0.5000  0.2651 [1 per cell]  8 Hg 3.08-3.42
Sb  0.0000  0.0000  0.6037 [1 per cell]  4 W 2.91, 4 Sb 3.08
W  0.5000  0.5000  0.7979 [1 per cell]  4 Sb 2.91, 4 Hg 2.96, 4 W 3.08

Values from the calculation:
For the raw formation energy, the calculation gives 530.8 meV per atom. The theoretical density is 12.4 g/cm3. For the total magnetic moment, the calculation gives 0.002 μB/f.u. For the uncorrected energy, the calculation gives -15.556 eV per cell.

=====

Record 4
Below is a relaxed Hg2SbW crystal, with properties calculated at the GGA-PBE level.

abc: 3.3530 4.9690 11.3747
angles: 90.00 90.00 90.00
Last column: nearest neighbours and their distance in Å.
Space group Cmm2 (No. 35)
Asymmetric unit:
Hg  0.0000  0.0000  0.0000 [2 per cell]  2 W 2.97, 4 Hg 3.00
Hg  0.0000  0.5000  0.2686 [2 per cell]  6 Hg 3.00-3.35
Sb  0.0000  0.0000  0.5888 [2 per cell]  2 W 2.79, 4 Sb 3.00
W  0.0000  0.5000  0.7846 [2 per cell]  2 Sb 2.79, 2 Hg 2.97, 4 W 3.00

Values from the calculation:
For the raw formation energy, the calculation gives 540.5 meV per atom. The theoretical density is 12.4 g/cm3. For the total magnetic moment, the calculation gives 0.000 μB/f.u. For the uncorrected energy, the calculation gives -31.034 eV per cell.

=====

Record 5
Below is a relaxed HgSbW2 crystal, with properties calculated at the GGA-PBE level.

abc: 2.9494 4.6636 5.6119
angles: 90.00 95.09 90.00
Last column: nearest neighbours and their distance in Å.
Space group P2/m (No. 10)
Asymmetric unit:
Hg  0.0000  0.0000  0.0000 [1 per cell]  4 W 2.87, 2 Hg 2.95, 2 Sb 3.05
Sb  0.5000  0.0000  0.5000 [1 per cell]  4 W 2.86, 2 Sb 2.95, 2 Hg 3.05
W  0.3314  0.5000  0.7744 [2 per cell]  3 W 2.64-2.95, 2 Sb 2.86, 2 Hg 2.87

Values from the calculation:
For the raw formation energy, the calculation gives 921.9 meV per atom. The theoretical density is 14.9 g/cm3. For the total magnetic moment, the calculation gives 0.000 μB/f.u. Its relative energy among the computed polymorphs is 1.898 eV per formula unit. For the uncorrected energy, the calculation gives -26.643 eV per cell.

=====

Record 6
Below is a relaxed Hg3SbW crystal, with properties calculated at the GGA-PBE level.

abc: 5.3267 5.3267 5.3267
angles: 90.00 90.00 90.00
Last column: nearest neighbours and their distance in Å.
Space group Pm-3m (No. 221)
Asymmetric unit:
Hg  0.0000  0.0000  0.5000 [3 per cell]  2 W 2.66
Sb  0.5000  0.5000  0.5000 [1 per cell]  12 Hg 3.77
W  0.0000  0.0000  0.0000 [1 per cell]  6 Hg 2.66

Values from the calculation:
For the raw formation energy, the calculation gives 1167.7 meV per atom. The theoretical density is 10.0 g/cm3. For the total magnetic moment, the calculation gives 0.621 μB/f.u. Its relative energy among the computed polymorphs is 0.000 eV per formula unit. For the uncorrected energy, the calculation gives -12.142 eV per cell.